[1]
{"formula": "MnW2Cl", "functional": "PBE", "state": "relaxed", "lattice": [[2.954, 0.000, 0.000], [0.000, 2.954, 0.000], [0.000, 0.000, 6.866]], "species": ["Mn", "W", "W", "Cl"], "fractional_positions": [[0.000, 0.000, 0.000], [0.000, 0.000, 0.476], [0.500, 0.500, 0.207], [0.500, 0.500, 0.730]], "formation_energy_uncorrected_mev_per_atom": 559}



[2]
{"formula": "Ta2VHPt", "functional": "PBE", "state": "relaxed", "lattice": [[4.229, 0.000, 0.000], [0.000, 4.229, 0.000], [0.000, 0.000, 3.750]], "species": ["Ta", "Ta", "V", "H", "Pt"], "fractional_positions": [[0.000, 0.500, 0.000], [0.500, 0.000, 0.000], [0.000, 0.000, 0.500], [0.000, 0.000, 0.000], [0.500, 0.500, 0.500]]}



[3]
{"formula": "Ac3ThTe4", "functional": "PBE", "state": "relaxed", "lattice": [[4.698, -6.597, 0.000], [4.698, 6.597, 0.000], [0.000, 0.000, 4.622]], "species": ["Ac", "Ac", "Ac", "Th", "Te", "Te", "Te", "Te"], "fractional_positions": [[0.000, 0.000, 0.000], [0.000, 0.500, 0.500], [0.500, 0.000, 0.500], [0.500, 0.500, 0.000], [0.256, 0.744, 0.000], [0.260, 0.260, 0.500], [0.740, 0.740, 0.500], [0.744, 0.256, 0.000]], "formation_energy_uncorrected_mev_per_atom": -1348}



It is found that the final energy values, taken in the order of the records, are -8.6713, -8.7237, -5.3865 eV per atom.